[1]
This record from Alexandria via LeMat-Bulk describes a relaxed structure of Si2TeOs. The functional is PBE-GGA.

CIF file:
```
data_Si2TeOs
_space_group_name_H-M_alt 'P 1'
_space_group_IT_number 1
_cell_length_a 4.8320
_cell_length_b 3.8087
_cell_length_c 3.8087
_cell_angle_alpha 90.00
_cell_angle_beta 90.00
_cell_angle_gamma 90.00
loop_
_space_group_symop_operation_xyz
'x,y,z'
loop_
_atom_site_label
_atom_site_type_symbol
_atom_site_fract_x
_atom_site_fract_y
_atom_site_fract_z
Si1 Si 0.0000 0.0000 0.0000
Si2 Si 0.0000 0.5000 0.5000
Os1 Os 0.5000 0.0000 0.5000
Te1 Te 0.5000 0.5000 0.0000
```

***

[2]
This record from Alexandria via LeMat-Bulk describes a relaxed structure of Si2TeOs. The functional is PBE-GGA.

CIF file:
```
data_Si2TeOs
_space_group_name_H-M_alt 'P 1'
_space_group_IT_number 1
_cell_length_a 4.2104
_cell_length_b 4.2104
_cell_length_c 5.9418
_cell_angle_alpha 75.21
_cell_angle_beta 75.21
_cell_angle_gamma 50.00
loop_
_space_group_symop_operation_xyz
'x,y,z'
loop_
_atom_site_label
_atom_site_type_symbol
_atom_site_fract_x
_atom_site_fract_y
_atom_site_fract_z
Si1 Si 0.7533 0.7533 0.8478
Si2 Si 0.9852 0.9852 0.0464
Te1 Te 0.4996 0.4996 0.4490
Os1 Os 0.2619 0.2619 0.1568
```

***

[3]
This record from Alexandria via LeMat-Bulk describes a relaxed structure of SiTe2Os. The functional is PBE-GGA.

CIF file:
```
data_SiTe2Os
_space_group_name_H-M_alt 'P 1'
_space_group_IT_number 1
_cell_length_a 3.9216
_cell_length_b 6.7201
_cell_length_c 5.4838
_cell_angle_alpha 36.00
_cell_angle_beta 90.00
_cell_angle_gamma 90.00
loop_
_space_group_symop_operation_xyz
'x,y,z'
loop_
_atom_site_label
_atom_site_type_symbol
_atom_site_fract_x
_atom_site_fract_y
_atom_site_fract_z
Si1 Si 0.0000 0.0000 0.5000
Te1 Te 0.5000 0.5000 0.0000
Te2 Te 0.0000 0.0000 0.0000
Os1 Os 0.5000 0.5000 0.5000
```

***

[4]
This record from Alexandria via LeMat-Bulk describes a relaxed structure of SiTe2Os. The functional is PBE-GGA.

CIF file:
```
data_SiTe2Os
_space_group_name_H-M_alt 'P 1'
_space_group_IT_number 1
_cell_length_a 3.9542
_cell_length_b 2.9241
_cell_length_c 8.3812
_cell_angle_alpha 69.64
_cell_angle_beta 90.00
_cell_angle_gamma 90.00
loop_
_space_group_symop_operation_xyz
'x,y,z'
loop_
_atom_site_label
_atom_site_type_symbol
_atom_site_fract_x
_atom_site_fract_y
_atom_site_fract_z
Te1 Te 0.0000 0.4776 0.0210
Te2 Te 0.0000 0.0224 0.4790
Si1 Si 0.5000 0.7500 0.7500
Os1 Os 0.5000 0.2500 0.2500
```

***

[5]
This record from Alexandria via LeMat-Bulk describes a relaxed structure of SiTe2Os. The functional is PBE-GGA.

CIF file:
```
data_SiTe2Os
_space_group_name_H-M_alt 'P 1'
_space_group_IT_number 1
_cell_length_a 6.4869
_cell_length_b 6.4869
_cell_length_c 6.4869
_cell_angle_alpha 152.00
_cell_angle_beta 136.28
_cell_angle_gamma 52.72
loop_
_space_group_symop_operation_xyz
'x,y,z'
loop_
_atom_site_label
_atom_site_type_symbol
_atom_site_fract_x
_atom_site_fract_y
_atom_site_fract_z
Te1 Te 0.6939 0.1939 0.5000
Te2 Te 0.9837 0.9837 0.0000
Os1 Os 0.4931 0.4931 0.0000
Si1 Si 0.3292 0.8292 0.5000
```

***

[6]
This record from Alexandria via LeMat-Bulk describes a relaxed structure of Si2TeOs. The functional is PBE-GGA.

CIF file:
```
data_Si2TeOs
_space_group_name_H-M_alt 'P 1'
_space_group_IT_number 1
_cell_length_a 6.5627
_cell_length_b 6.5627
_cell_length_c 6.5627
_cell_angle_alpha 153.12
_cell_angle_beta 144.54
_cell_angle_gamma 45.04
loop_
_space_group_symop_operation_xyz
'x,y,z'
loop_
_atom_site_label
_atom_site_type_symbol
_atom_site_fract_x
_atom_site_fract_y
_atom_site_fract_z
Te1 Te 0.4442 0.4442 0.0000
Si1 Si 0.7271 0.2271 0.5000
Si2 Si 0.0825 0.0825 0.0000
Os1 Os 0.2461 0.7461 0.5000
```

***

[7]
This record from Alexandria via LeMat-Bulk describes a relaxed structure of Si2TeOs. The functional is PBE-GGA.

CIF file:
```
data_Si2TeOs
_space_group_name_H-M_alt 'P 1'
_space_group_IT_number 1
_cell_length_a 4.3138
_cell_length_b 4.5278
_cell_length_c 4.5301
_cell_angle_alpha 60.91
_cell_angle_beta 90.00
_cell_angle_gamma 90.00
loop_
_space_group_symop_operation_xyz
'x,y,z'
loop_
_atom_site_label
_atom_site_type_symbol
_atom_site_fract_x
_atom_site_fract_y
_atom_site_fract_z
Si1 Si 0.0000 0.9434 0.9438
Si2 Si 0.5000 0.1622 0.1620
Os1 Os 0.5000 0.7999 0.7997
Te1 Te 0.0000 0.5945 0.5944
```

***

[8]
This record from Alexandria via LeMat-Bulk describes a relaxed structure of Si2TeOs. The functional is PBE-GGA.

CIF file:
```
data_Si2TeOs
_space_group_name_H-M_alt 'P 1'
_space_group_IT_number 1
_cell_length_a 5.8250
_cell_length_b 5.8250
_cell_length_c 6.9779
_cell_angle_alpha 65.33
_cell_angle_beta 65.33
_cell_angle_gamma 90.00
loop_
_space_group_symop_operation_xyz
'x,y,z'
loop_
_atom_site_label
_atom_site_type_symbol
_atom_site_fract_x
_atom_site_fract_y
_atom_site_fract_z
Si1 Si 0.3750 0.3121 0.7500
Si2 Si 0.0621 0.6250 0.2500
Si3 Si 0.8750 0.9379 0.7500
Si4 Si 0.6879 0.1250 0.2500
Os1 Os 0.7500 0.2500 0.5000
Os2 Os 0.0000 0.0000 0.0000
Te1 Te 0.5000 0.5000 0.0000
Te2 Te 0.2500 0.7500 0.5000
```

***

[9]
This record from Alexandria via LeMat-Bulk describes a relaxed structure of SiTe2Os. The functional is PBE-GGA.

CIF file:
```
data_SiTe2Os
_space_group_name_H-M_alt 'P 1'
_space_group_IT_number 1
_cell_length_a 4.8051
_cell_length_b 4.8067
_cell_length_c 4.8039
_cell_angle_alpha 72.18
_cell_angle_beta 69.71
_cell_angle_gamma 110.31
loop_
_space_group_symop_operation_xyz
'x,y,z'
loop_
_atom_site_label
_atom_site_type_symbol
_atom_site_fract_x
_atom_site_fract_y
_atom_site_fract_z
Si1 Si 0.5000 0.0000 0.5000
Te1 Te 0.0000 0.5000 0.5000
Te2 Te 0.0000 0.0000 0.0000
Os1 Os 0.5000 0.5000 0.0000
```

***

[10]
This record from Alexandria via LeMat-Bulk describes a relaxed structure of SiTeOs2. The functional is PBE-GGA.

CIF file:
```
data_SiTeOs2
_space_group_name_H-M_alt 'P 1'
_space_group_IT_number 1
_cell_length_a 4.2811
_cell_length_b 2.9501
_cell_length_c 6.3524
_cell_angle_alpha 89.63
_cell_angle_beta 90.00
_cell_angle_gamma 90.00
loop_
_space_group_symop_operation_xyz
'x,y,z'
loop_
_atom_site_label
_atom_site_type_symbol
_atom_site_fract_x
_atom_site_fract_y
_atom_site_fract_z
Si1 Si 0.0000 0.3710 0.3922
Os1 Os 0.0000 0.8754 0.0822
Os2 Os 0.5000 0.3737 0.2049
Te1 Te 0.5000 0.8799 0.8206
```

E above lowest polymorph = 54 kJ/mol of formula units

***

[11]
This record from Alexandria via LeMat-Bulk describes a relaxed structure of Si2TeOs. The functional is PBE-GGA.

CIF file:
```
data_Si2TeOs
_space_group_name_H-M_alt 'P 1'
_space_group_IT_number 1
_cell_length_a 5.7037
_cell_length_b 5.7037
_cell_length_c 5.7037
_cell_angle_alpha 149.31
_cell_angle_beta 128.39
_cell_angle_gamma 61.25
loop_
_space_group_symop_operation_xyz
'x,y,z'
loop_
_atom_site_label
_atom_site_type_symbol
_atom_site_fract_x
_atom_site_fract_y
_atom_site_fract_z
Si1 Si 0.4516 0.4516 0.0000
Si2 Si 0.0484 0.0484 0.0000
Os1 Os 0.2500 0.7500 0.5000
Te1 Te 0.7500 0.2500 0.5000
```

***

[12]
This record from Alexandria via LeMat-Bulk describes a relaxed structure of Si2TeOs. The functional is PBE-GGA.

CIF file:
```
data_Si2TeOs
_space_group_name_H-M_alt 'P 1'
_space_group_IT_number 1
_cell_length_a 5.0594
_cell_length_b 5.0594
_cell_length_c 4.0977
_cell_angle_alpha 70.01
_cell_angle_beta 70.01
_cell_angle_gamma 116.50
loop_
_space_group_symop_operation_xyz
'x,y,z'
loop_
_atom_site_label
_atom_site_type_symbol
_atom_site_fract_x
_atom_site_fract_y
_atom_site_fract_z
Te1 Te 0.5000 0.0000 0.5000
Si1 Si 0.0000 0.0000 0.0000
Si2 Si 0.5000 0.5000 0.0000
Os1 Os 0.0000 0.5000 0.5000
```

***

[13]
This record from Alexandria via LeMat-Bulk describes a relaxed structure of SiTeOs3. The functional is PBE-GGA.

CIF file:
```
data_SiTeOs3
_space_group_name_H-M_alt 'P 1'
_space_group_IT_number 1
_cell_length_a 4.8191
_cell_length_b 4.8191
_cell_length_c 4.8191
_cell_angle_alpha 90.00
_cell_angle_beta 90.00
_cell_angle_gamma 90.00
loop_
_space_group_symop_operation_xyz
'x,y,z'
loop_
_atom_site_label
_atom_site_type_symbol
_atom_site_fract_x
_atom_site_fract_y
_atom_site_fract_z
Os1 Os 0.0000 0.0000 0.5000
Os2 Os 0.0000 0.5000 0.0000
Os3 Os 0.5000 0.0000 0.0000
Te1 Te 0.0000 0.0000 0.0000
Si1 Si 0.5000 0.5000 0.5000
```

E above lowest polymorph = 661 kJ/mol of formula units

***

[14]
This record from Alexandria via LeMat-Bulk describes a relaxed structure of SiTeOs3. The functional is PBE-GGA.

CIF file:
```
data_SiTeOs3
_space_group_name_H-M_alt 'P 1'
_space_group_IT_number 1
_cell_length_a 4.4707
_cell_length_b 4.4707
_cell_length_c 4.4707
_cell_angle_alpha 90.00
_cell_angle_beta 90.00
_cell_angle_gamma 90.00
loop_
_space_group_symop_operation_xyz
'x,y,z'
loop_
_atom_site_label
_atom_site_type_symbol
_atom_site_fract_x
_atom_site_fract_y
_atom_site_fract_z
Os1 Os 0.5000 0.0000 0.0000
Os2 Os 0.0000 0.0000 0.5000
Os3 Os 0.0000 0.5000 0.0000
Si1 Si 0.0000 0.0000 0.0000
Te1 Te 0.5000 0.5000 0.5000
```

E above lowest polymorph = 0 kJ/mol of formula units

***

[15]
This record from Alexandria via LeMat-Bulk describes a relaxed structure of SiTeOs2. The functional is PBE-GGA.

CIF file:
```
data_SiTeOs2
_space_group_name_H-M_alt 'P 1'
_space_group_IT_number 1
_cell_length_a 2.9118
_cell_length_b 2.9118
_cell_length_c 9.7629
_cell_angle_alpha 90.00
_cell_angle_beta 90.00
_cell_angle_gamma 119.84
loop_
_space_group_symop_operation_xyz
'x,y,z'
loop_
_atom_site_label
_atom_site_type_symbol
_atom_site_fract_x
_atom_site_fract_y
_atom_site_fract_z
Os1 Os 0.0000 0.0000 0.0206
Os2 Os 0.5000 0.5000 0.2488
Te1 Te 0.5000 0.5000 0.7803
Si1 Si 0.0000 0.0000 0.4503
```

E above lowest polymorph = 199 kJ/mol of formula units

***

no.,M_tot (μB per cell),ΔE_f (raw) (meV/atom)
1,0.000,885
2,0.000,211
3,0.000,611
4,0.001,736
5,0.000,490
6,0.000,299
7,0.000,229
8,0.000,336
9,0.000,705
10,0.000,432
11,0.000,592
12,0.000,650
13,0.000,2610
14,0.000,1239
15,0.000,809